1.
# U2AgI8

A relaxed structure of U2AgI8 (PBE-GGA, Alexandria via LeMat-Bulk).

Unit cell a=6.2808 b=9.6940 c=9.7041 alpha=120.00 beta=89.99 gamma=90.00
Last column: nearest neighbours and their distance in Å.
Element x y z (fractional)
U: 0.2246 0.3335 0.6668  5 I 2.94-3.22
U: 0.7754 0.6665 0.3331  5 I 2.94-3.22
Ag: 0.0000 0.0000 0.0000  6 I 3.09-3.10
I: 0.2633 0.6665 0.3332  2 U 3.06-3.22
I: 0.7367 0.3335 0.6668  2 U 3.06-3.22
I: 0.7488 0.8406 0.1577  1 U 2.94, 1 Ag 3.10
I: 0.2511 0.1580 0.3177  1 U 2.94, 1 Ag 3.10
I: 0.2513 0.6832 0.8407  1 U 2.94, 1 Ag 3.09
I: 0.2512 0.1594 0.8422  1 U 2.94, 1 Ag 3.10
I: 0.7489 0.8420 0.6823  1 U 2.94, 1 Ag 3.10
I: 0.7487 0.3168 0.1593  1 U 2.94, 1 Ag 3.09

Computed properties:
The value obtained for the distance to the lowest polymorph of the same formula is 0.086 eV/atom. As for the uncorrected formation energy: -0.5414 eV per atom.

---

2.
# U2AgI8

A relaxed structure of U2AgI8 (PBE-GGA, Alexandria via LeMat-Bulk).

Unit cell a=9.4383 b=8.2239 c=8.2239 alpha=62.68 beta=84.52 gamma=84.52
Last column: nearest neighbours and their distance in Å.
Element x y z (fractional)
U: 0.6477 0.1260 0.1260  5 I 2.94-3.13
U: 0.3523 0.8740 0.8740  5 I 2.94-3.13
Ag: 0.0000 0.0000 0.0000  4 I 2.99
I: 0.1402 0.1276 0.6230  1 U 2.94, 1 Ag 2.99
I: 0.1402 0.6230 0.1276  1 U 2.94, 1 Ag 2.99
I: 0.8598 0.8724 0.3770  1 U 2.94, 1 Ag 2.99
I: 0.4424 0.6666 0.6666  1 U 2.94
I: 0.8598 0.3770 0.8724  1 U 2.94, 1 Ag 2.99
I: 0.3233 0.0979 0.0979  2 U 3.13, 1 Ag 3.48
I: 0.6767 0.9021 0.9021  2 U 3.13, 1 Ag 3.48
I: 0.5576 0.3334 0.3334  1 U 2.94

Computed properties:
The value obtained for the distance to the lowest polymorph of the same formula is 0.000 eV/atom. As for the uncorrected formation energy: -0.6277 eV per atom.

---

3.
# VAgI2

A relaxed structure of VAgI2 (PBE-GGA, Alexandria via LeMat-Bulk).

Unit cell a=5.2678 b=5.2678 c=5.2678 alpha=60.00 beta=60.00 gamma=60.00
Last column: nearest neighbours and their distance in Å.
Element x y z (fractional)
I: 0.2500 0.2500 0.2500  4 V 3.23, 4 Ag 3.23
I: 0.7500 0.7500 0.7500  4 Ag 3.23, 4 V 3.23
Ag: 0.5000 0.5000 0.5000  8 I 3.23
V: 0.0000 0.0000 0.0000  8 I 3.23

Computed properties:
The value obtained for the distance to the lowest polymorph of the same formula is 0.234 eV/atom. As for the uncorrected formation energy: 0.4133 eV per atom.

---

no.,D(E_F) (states/eV/cell)
1,18.2
2,10.8
3,4.1